a | Material: LaTaTe
Method: DFT, PBE-GGA
State: relaxed

## Properties
- Calculated density: 7.23 g cm⁻³
- Crystal system: cubic

a = 5.257 Å, b = 5.257 Å, c = 5.257 Å
α = 60.00°, β = 60.00°, γ = 60.00°
Sites, in units of the cell vectors:
Te (0.750, 0.750, 0.750)
La (0.000, 0.000, 0.000)
Ta (0.250, 0.250, 0.250)

***

b | Material: LaTaTe
Method: DFT, PBE-GGA
State: relaxed

## Properties
- Calculated density: 8.56 g cm⁻³
- Crystal system: cubic

a = 4.969 Å, b = 4.969 Å, c = 4.969 Å
α = 60.00°, β = 60.00°, γ = 60.00°
Sites, in units of the cell vectors:
Te (0.000, 0.000, 0.000)
La (0.250, 0.250, 0.250)
Ta (0.750, 0.750, 0.750)

***

Stability ranking, top entry: b; the second entry is 0.506 eV/atom less favorable.

***

a | Material: LaTc2
Method: DFT, PBE-GGA
State: relaxed

## Properties
- Calculated density: 2.91 g cm⁻³
- Crystal system: cubic

a = 8.143 Å, b = 8.143 Å, c = 8.143 Å
α = 60.00°, β = 60.00°, γ = 60.00°
Sites, in units of the cell vectors:
Tc (0.375, 0.875, 0.375)
Tc (0.375, 0.375, 0.375)
Tc (0.375, 0.375, 0.875)
Tc (0.875, 0.375, 0.375)
La (0.250, 0.250, 0.250)
La (0.500, 0.500, 0.500)

***

b | Material: LaTc2
Method: DFT, PBE-GGA
State: relaxed

## Properties
- Calculated density: 9.39 g cm⁻³
- Crystal system: cubic

a = 5.513 Å, b = 5.513 Å, c = 5.513 Å
α = 60.00°, β = 60.00°, γ = 60.00°
Sites, in units of the cell vectors:
Tc (0.125, 0.625, 0.625)
Tc (0.625, 0.625, 0.625)
Tc (0.625, 0.125, 0.625)
Tc (0.625, 0.625, 0.125)
La (0.250, 0.250, 0.250)
La (0.000, 0.000, 0.000)

***

Stability ranking, top entry: b; the second entry is 3.201 eV/atom less favorable.

***

a | Material: LaTlZnTe3
Method: DFT, PBE-GGA
State: relaxed

## Properties
- Calculated density: 6.04 g cm⁻³
- Crystal system: monoclinic

a = 8.978 Å, b = 4.504 Å, c = 11.186 Å
α = 90.00°, β = 105.92°, γ = 90.00°
Sites, in units of the cell vectors:
Tl (0.735, 0.750, 0.703)
Tl (0.265, 0.250, 0.297)
Te (0.780, 0.250, 0.448)
Te (0.451, 0.750, 0.156)
Te (0.038, 0.250, 0.838)
Te (0.962, 0.750, 0.162)
Te (0.220, 0.750, 0.552)
Te (0.549, 0.250, 0.844)
La (0.300, 0.750, 0.860)
La (0.700, 0.250, 0.140)
Zn (0.076, 0.250, 0.610)
Zn (0.924, 0.750, 0.390)

***

b | Material: LaTlZnTe3
Method: DFT, PBE-GGA
State: relaxed

## Properties
- Calculated density: 6.72 g cm⁻³
- Crystal system: orthorhombic

a = 9.200 Å, b = 4.695 Å, c = 18.103 Å
α = 90.00°, β = 90.00°, γ = 90.00°
Sites, in units of the cell vectors:
Te (0.501, 0.750, 0.592)
Te (0.304, 0.750, 0.217)
Te (0.624, 0.750, 0.057)
Te (0.001, 0.750, 0.908)
Te (0.696, 0.250, 0.783)
Te (0.876, 0.250, 0.557)
Te (0.124, 0.750, 0.443)
Te (0.499, 0.250, 0.408)
Te (0.196, 0.250, 0.717)
Te (0.804, 0.750, 0.283)
Te (0.999, 0.250, 0.092)
Te (0.376, 0.250, 0.943)
Zn (0.365, 0.750, 0.358)
Zn (0.865, 0.750, 0.142)
Zn (0.635, 0.250, 0.642)
Zn (0.135, 0.250, 0.858)
Tl (0.071, 0.250, 0.286)
Tl (0.429, 0.750, 0.786)
Tl (0.929, 0.750, 0.714)
Tl (0.571, 0.250, 0.214)
La (0.746, 0.250, 0.953)
La (0.254, 0.750, 0.047)
La (0.246, 0.250, 0.547)
La (0.754, 0.750, 0.453)

***

Stability ranking, top entry: a; the second entry is 0.046 eV/atom less favorable.

***

a | Material: LaTlZnTe3
Method: DFT, PBE-GGA
State: relaxed

## Properties
- Calculated density: 6.06 g cm⁻³
- Crystal system: orthorhombic

a = 15.771 Å, b = 4.502 Å, c = 12.223 Å
α = 90.00°, β = 90.00°, γ = 90.00°
Sites, in units of the cell vectors:
Te (0.605, 0.750, 0.079)
Te (0.416, 0.750, 0.609)
Te (0.916, 0.750, 0.891)
Te (0.105, 0.750, 0.421)
Te (0.584, 0.250, 0.391)
Te (0.395, 0.250, 0.921)
Te (0.895, 0.250, 0.579)
Te (0.351, 0.750, 0.263)
Te (0.649, 0.250, 0.737)
Te (0.851, 0.750, 0.237)
Te (0.149, 0.250, 0.763)
Te (0.084, 0.250, 0.109)
La (0.526, 0.750, 0.838)
La (0.026, 0.750, 0.662)
La (0.974, 0.250, 0.338)
La (0.474, 0.250, 0.162)
Zn (0.518, 0.250, 0.599)
Zn (0.482, 0.750, 0.401)
Zn (0.018, 0.250, 0.901)
Zn (0.982, 0.750, 0.099)
Tl (0.239, 0.750, 0.965)
Tl (0.761, 0.250, 0.035)
Tl (0.739, 0.750, 0.535)
Tl (0.261, 0.250, 0.465)

***

b | Material: LaTlZnTe3
Method: DFT, PBE-GGA
State: relaxed

## Properties
- Calculated density: 6.26 g cm⁻³
- Crystal system: orthorhombic

a = 8.055 Å, b = 8.055 Å, c = 12.093 Å
α = 90.00°, β = 90.00°, γ = 147.64°
Sites, in units of the cell vectors:
Te (0.362, 0.638, 0.928)
Te (0.638, 0.362, 0.072)
Te (0.638, 0.362, 0.428)
Te (0.927, 0.073, 0.250)
Te (0.362, 0.638, 0.572)
Te (0.073, 0.927, 0.750)
La (0.000, 0.000, 0.000)
La (0.000, 0.000, 0.500)
Zn (0.465, 0.535, 0.750)
Zn (0.535, 0.465, 0.250)
Tl (0.245, 0.755, 0.250)
Tl (0.755, 0.245, 0.750)

***

c | Material: LaTlZnTe3
Method: DFT, PBE-GGA
State: relaxed

## Properties
- Calculated density: 6.35 g cm⁻³
- Crystal system: monoclinic

a = 9.996 Å, b = 9.996 Å, c = 9.556 Å
α = 105.95°, β = 105.95°, γ = 26.86°
Sites, in units of the cell vectors:
Te (0.344, 0.344, 0.133)
Te (0.666, 0.666, 0.327)
Te (0.656, 0.656, 0.867)
Te (0.500, 0.500, 0.500)
Te (0.000, 0.000, 0.000)
Te (0.334, 0.334, 0.673)
La (0.176, 0.176, 0.104)
La (0.824, 0.824, 0.896)
Zn (0.522, 0.522, 0.220)
Zn (0.478, 0.478, 0.780)
Tl (0.132, 0.132, 0.580)
Tl (0.868, 0.868, 0.420)

***

Stability ranking, top entry: b; the second entry is 0.020 eV/atom less favorable.